No. 1
This record from Alexandria via LeMat-Bulk describes a relaxed BeCoOs crystal. The functional is PBE.

```
3
Lattice="0.000 2.672 2.672 2.672 0.000 2.672 2.672 2.672 0.000" Properties=species:S:1:pos:R:3 pbc="T T T"
Be 0.000 0.000 0.000
Co 1.336 1.336 1.336
Os 2.672 2.672 2.672
```

## Properties
ΔH_f (0 K): 33.0 kJ/mol of atoms
DFT total energy: -7.01 eV/atom
SG: F-43m (216)



No. 2
This record from Alexandria via LeMat-Bulk describes a relaxed BeCo3Os crystal. The functional is PBE.

```
5
Lattice="3.837 0.000 0.000 0.000 3.837 0.000 0.000 0.000 3.837" Properties=species:S:1:pos:R:3 pbc="T T T"
Be 0.000 0.000 0.000
Co 0.000 0.000 1.918
Co 0.000 1.918 0.000
Co 1.918 0.000 0.000
Os 1.918 1.918 1.918
```

## Properties
ΔH_f (0 K): 57.0 kJ/mol of atoms
DFT total energy: -6.66 eV/atom
SG: Pm-3m (221)



No. 3
This record from Alexandria via LeMat-Bulk describes a relaxed Be2CoOs crystal. The functional is PBE.

```
4
Lattice="3.816 0.000 0.000 0.000 3.816 0.000 0.000 0.000 2.756" Properties=species:S:1:pos:R:3 pbc="T T T"
Be 0.000 1.908 0.000
Be 1.908 0.000 0.000
Co 0.000 0.000 1.378
Os 1.908 1.908 1.378
```

## Properties
ΔH_f (0 K): -14.7 kJ/mol of atoms
DFT total energy: -6.60 eV/atom
SG: P4/mmm (123)



No. 4
This record from Alexandria via LeMat-Bulk describes a relaxed Be2CoOs crystal. The functional is PBE.

```
4
Lattice="3.670 0.000 0.000 0.000 1.310 4.223 0.000 -1.310 4.223" Properties=species:S:1:pos:R:3 pbc="T T T"
Be 0.000 0.000 0.000
Be 1.835 0.000 1.205
Co 0.000 0.000 6.143
Os 1.835 0.000 3.450
```

## Properties
ΔH_f (0 K): -11.4 kJ/mol of atoms
DFT total energy: -6.56 eV/atom
SG: Amm2 (38)



No. 5
This record from Alexandria via LeMat-Bulk describes a relaxed BeCoOs2 crystal. The functional is PBE.

```
4
Lattice="2.692 0.000 0.000 0.000 3.657 0.000 0.000 0.000 4.994" Properties=species:S:1:pos:R:3 pbc="T T T"
Be 0.000 0.000 0.000
Co 1.346 1.829 1.059
Os 0.000 0.000 2.421
Os 1.346 1.829 3.688
```

## Properties
ΔH_f (0 K): 8.9 kJ/mol of atoms
DFT total energy: -8.23 eV/atom
SG: Pmm2 (25)



No. 6
This record from Alexandria via LeMat-Bulk describes a relaxed BeCoOs2 crystal. The functional is PBE.

```
4
Lattice="2.718 0.000 0.000 0.000 2.718 0.000 0.000 0.000 6.335" Properties=species:S:1:pos:R:3 pbc="T T T"
Be 0.000 0.000 0.000
Co 1.359 1.359 1.203
Os 0.000 0.000 2.962
Os 1.359 1.359 4.814
```

## Properties
ΔH_f (0 K): -5.2 kJ/mol of atoms
DFT total energy: -8.38 eV/atom
SG: P4mm (99)



No. 7
This record from Alexandria via LeMat-Bulk describes a relaxed BeCoOs2 crystal. The functional is PBE.

```
4
Lattice="-1.397 2.049 4.075 1.397 -2.049 4.075 1.397 2.049 -4.075" Properties=species:S:1:pos:R:3 pbc="T T T"
Be 0.000 0.000 0.000
Co 1.397 0.000 1.703
Os 0.000 0.000 3.957
Os 0.000 2.049 2.130
```

## Properties
ΔH_f (0 K): -4.3 kJ/mol of atoms
DFT total energy: -8.37 eV/atom
SG: Imm2 (44)



No. 8
This record from Alexandria via LeMat-Bulk describes a relaxed Be2CoOs crystal. The functional is PBE.

```
4
Lattice="2.506 -3.670 0.000 2.506 3.670 0.000 -0.999 0.000 2.310" Properties=species:S:1:pos:R:3 pbc="T T T"
Be 1.253 1.835 0.000
Be 1.253 -1.835 0.000
Co -0.499 0.000 1.155
Os 2.006 0.000 1.155
```

## Properties
ΔH_f (0 K): -2.5 kJ/mol of atoms
DFT total energy: -6.47 eV/atom
SG: C2/m (12)



No. 9
This record from Alexandria via LeMat-Bulk describes a relaxed BeCoOs2 crystal. The functional is PBE.

```
4
Lattice="-1.802 1.802 3.738 1.802 -1.802 3.738 1.802 1.802 -3.738" Properties=species:S:1:pos:R:3 pbc="T T T"
Be 0.000 0.000 0.000
Co 1.802 0.000 1.869
Os 0.000 0.000 3.738
Os 0.000 1.802 1.869
```

## Properties
ΔH_f (0 K): 11.1 kJ/mol of atoms
DFT total energy: -8.21 eV/atom
SG: I-4m2 (119)



No. 10
This record from Alexandria via LeMat-Bulk describes a relaxed Be2CoOs crystal. The functional is PBE.

```
4
Lattice="3.012 0.000 0.000 0.000 3.507 0.000 0.000 0.000 3.996" Properties=species:S:1:pos:R:3 pbc="T T T"
Be 0.000 0.000 0.000
Be 1.506 0.000 1.998
Co 0.000 1.753 1.998
Os 1.506 1.753 0.000
```

## Properties
ΔH_f (0 K): -4.0 kJ/mol of atoms
DFT total energy: -6.49 eV/atom
SG: Pmmm (47)



No. 11
This record from Alexandria via LeMat-Bulk describes a relaxed BeCoOs2 crystal. The functional is PBE.

```
4
Lattice="0.000 2.928 2.928 2.928 0.000 2.928 2.928 2.928 0.000" Properties=species:S:1:pos:R:3 pbc="T T T"
Be 0.000 0.000 0.000
Co 1.464 1.464 1.464
Os 2.928 2.928 2.928
Os 4.391 4.391 4.391
```

## Properties
ΔH_f (0 K): 20.5 kJ/mol of atoms
DFT total energy: -8.11 eV/atom
SG: F-43m (216)



No. 12
This record from Alexandria via LeMat-Bulk describes a relaxed Be2CoOs crystal. The functional is PBE.

```
4
Lattice="0.000 2.717 2.717 2.717 0.000 2.717 2.717 2.717 0.000" Properties=species:S:1:pos:R:3 pbc="T T T"
Be 1.358 1.358 1.358
Be 4.075 4.075 4.075
Co 0.000 0.000 0.000
Os 2.717 2.717 2.717
```

## Properties
ΔH_f (0 K): -13.7 kJ/mol of atoms
DFT total energy: -6.59 eV/atom
SG: Fm-3m (225)